Below is a relaxed MnReNO2 crystal, with properties calculated at the PBE with a Hubbard U level.

Output
The calculation puts the total energy at -0.5209 Ry per atom. For the mass density, the calculation gives 8.63 g cm⁻³. Its volume is 11.05 Å³ per atom.

Lattice parameters (Å, degrees): 3.670 3.670 4.103 90.00 90.00 90.00
Atoms (fractional coordinates):
Mn 0.000 0.000 0.000
Re 0.500 0.500 0.500
N 0.000 0.000 0.500
O 0.000 0.500 0.000
O 0.500 0.000 0.000